The following is a PBE calculation of crystalline Pm9NdY2 at its relaxed geometry, from the Alexandria database.

Computed properties:
- energy of formation from the pure elements (kJ/mol of atoms) = 1.5
- crystal system = tetragonal
- V (Å³ per cell) = 409.0
- DFT total energy (eV per atom) = -5.0217
- magnetization (μB per atom) = 0.000

a b c (Å): 5.148 5.148 15.437
angles (deg): 90.00 90.00 90.00
Element x y z (fractional)
Pm: 0.500 0.000 0.168
Pm: 0.500 0.500 0.665
Pm: 0.000 0.500 0.832
Pm: 0.500 0.500 0.335
Pm: 0.500 0.500 0.000
Pm: 0.000 0.500 0.168
Pm: 0.000 0.500 0.500
Pm: 0.500 0.000 0.500
Pm: 0.500 0.000 0.832
Nd: 0.000 0.000 0.000
Y: 0.000 0.000 0.334
Y: 0.000 0.000 0.666



The following is a PBE calculation of crystalline LaPrHoEr at its relaxed geometry, from the Alexandria database.

Computed properties:
- energy of formation from the pure elements (kJ/mol of atoms) = 9.5
- crystal system = monoclinic
- offset from the most stable computed form (kJ/mol of formula units) = 3
- V (Å³ per cell) = 135.8
- DFT total energy (eV per atom) = -4.6131
- magnetization (μB per atom) = 0.000

a b c (Å): 3.829 5.933 6.966
angles (deg): 115.20 73.34 90.00
Element x y z (fractional)
La: 0.388 0.134 0.268
Pr: 0.694 0.402 0.804
Er: 0.908 0.647 0.293
Ho: 0.196 0.882 0.763



The following is a PBE calculation of crystalline Na2ScAlSe4 at its relaxed geometry, from the Alexandria database.

Computed properties:
- crystal system = orthorhombic
- E_form (uncorrected) (eV per atom) = -1.243
- V (Å³ per cell) = 356.0
- DFT total energy (eV per atom) = -4.5743
- magnetization (μB per atom) = 0.000

a b c (Å): 7.965 7.965 8.054
angles (deg): 120.37 120.37 90.37
Element x y z (fractional)
Sc: 0.000 0.500 0.000
Sc: 0.000 0.500 0.500
Se: 0.750 0.279 0.514
Se: 0.250 0.721 0.486
Se: 0.243 0.257 0.468
Se: 0.243 0.257 0.032
Se: 0.221 0.750 0.986
Se: 0.757 0.743 0.532
Se: 0.757 0.743 0.968
Se: 0.779 0.250 0.014
Na: 0.000 0.000 0.500
Na: 0.500 0.000 0.000
Na: 0.500 0.500 0.000
Na: 0.500 0.000 0.500
Al: 0.500 0.500 0.500
Al: 0.000 0.000 0.000



The following is a PBE calculation of crystalline Y2BeIn at its relaxed geometry, from the Alexandria database.

Computed properties:
- energy of formation from the pure elements (kJ/mol of atoms) = 35.1
- crystal system = cubic
- offset from the most stable computed form (kJ/mol of formula units) = 225
- V (Å³ per cell) = 95.2
- DFT total energy (eV per atom) = -4.4846
- magnetization (μB per atom) = 0.387

a b c (Å): 5.125 5.125 5.125
angles (deg): 60.00 60.00 60.00
Each line ends with the local moment (μB).
Element x y z (fractional)
Y: 0.000 0.000 0.000  0.41
Y: 0.750 0.750 0.750  0.42
In: 0.250 0.250 0.250  0.04
Be: 0.500 0.500 0.500  0.03



The following is a PBE calculation of crystalline Tb4Th2Sc5 at its relaxed geometry, from the Alexandria database.

Computed properties:
- energy of formation from the pure elements (kJ/mol of atoms) = 6.0
- crystal system = triclinic
- V (Å³ per cell) = 316.8
- DFT total energy (eV per atom) = -5.8491
- magnetization (μB per atom) = 0.000

a b c (Å): 3.392 8.484 15.148
angles (deg): 102.54 131.67 78.11
Element x y z (fractional)
Tb: 0.456 0.736 0.179
Tb: 0.544 0.264 0.821
Tb: 0.763 0.800 0.468
Tb: 0.237 0.200 0.532
Sc: 0.500 0.000 0.000
Sc: 0.999 0.088 0.267
Sc: 0.001 0.912 0.733
Sc: 0.872 0.549 0.635
Sc: 0.128 0.451 0.365
Th: 0.938 0.357 0.113
Th: 0.062 0.643 0.887



The following is a PBE calculation of crystalline K2HfTlBr6 at its relaxed geometry, from the Alexandria database.

Computed properties:
- crystal system = trigonal
- E_form (uncorrected) (eV per atom) = -1.311
- V (Å³ per cell) = 828.4
- DFT total energy (eV per atom) = -3.7667
- magnetization (μB per atom) = 0.102

a b c (Å): 7.634 7.634 16.995
angles (deg): 77.02 77.02 60.00
Each line ends with the local moment (μB).
Element x y z (fractional)
Br: 0.805 0.805 0.095  0.00
Br: 0.195 0.705 0.905  0.00
Br: 0.369 0.859 0.404  0.00
Br: 0.805 0.295 0.095  0.00
Br: 0.631 0.631 0.596  0.00
Br: 0.631 0.141 0.596  0.00
Br: 0.295 0.805 0.095  0.00
Br: 0.859 0.369 0.404  0.00
Br: 0.195 0.195 0.905  0.00
Br: 0.705 0.195 0.905  0.00
Br: 0.141 0.631 0.596  0.00
Br: 0.369 0.369 0.404  0.00
Tl: 0.417 0.417 0.750  0.03
Tl: 0.583 0.583 0.250  0.03
Hf: 0.000 0.000 0.000  0.54
Hf: 0.500 0.500 0.500  0.63
K: 0.854 0.854 0.438  0.00
K: 0.146 0.146 0.562  0.00
K: 0.687 0.687 0.940  0.00
K: 0.313 0.313 0.060  0.00